Here is a relaxed Ac2ZnCu3Ge4 crystal from Alexandria via LeMat-Bulk. Energies are from PBE-GGA. Values from VASP.

Computed properties:
Space group: P-4m2 (115)
Final energy (eV/atom): -4.52
Energy of formation (eV per atom): -0.50
Total magnetic moment (μB/atom): 0.000

Geometry as Quantum ESPRESSO input:
```
&SYSTEM
  ibrav = 0, nat = 10, ntyp = 4
/
ATOMIC_SPECIES
Ac 227.00 Ac.upf
Zn 65.41 Zn.upf
Cu 63.55 Cu.upf
Ge 72.64 Ge.upf
CELL_PARAMETERS angstrom
4.3866 0.0000 0.0000
0.0000 4.3866 0.0000
0.0000 0.0000 10.3125
ATOMIC_POSITIONS angstrom
Ac 0.0000 2.1933 2.5722
Ac 2.1933 0.0000 7.7402
Zn 0.0000 0.0000 5.1562
Cu 0.0000 2.1933 9.0325
Cu 2.1933 0.0000 1.2799
Cu 2.1933 2.1933 5.1562
Ge 0.0000 0.0000 0.0000
Ge 0.0000 2.1933 6.5370
Ge 2.1933 0.0000 3.7754
Ge 2.1933 2.1933 0.0000
```